{
  "formula": "NiRu3",
  "functional": "PBE",
  "state": "relaxed",
  "final_energy_ev_per_atom": -8.25,
  "formation_enthalpy_0k_ev_per_atom": 0.1572,
  "sg": "I4/mmm (139)",
  "cell": [[-1.861, 1.861, 3.837], [1.861, -1.861, 3.837], [1.861, 1.861, -3.837]],
  "species": ["Ni", "Ru", "Ru", "Ru"],
  "frac_coords": [[0.000, 0.000, 0.000], [0.250, 0.750, 0.500], [0.500, 0.500, 0.000], [0.750, 0.250, 0.500]]
}

{
  "formula": "Mg3SbN",
  "functional": "PBE",
  "state": "relaxed",
  "final_energy_ev_per_atom": -3.81,
  "sg": "P2_1/m (11)",
  "cell": [[4.443, 0.000, 0.000], [0.000, 6.409, 0.000], [-2.018, 0.000, 6.794]],
  "species": ["Mg", "Mg", "Mg", "Mg", "Mg", "Mg", "Sb", "Sb", "N", "N"],
  "frac_coords": [[0.018, 0.250, 0.043], [0.403, 0.022, 0.785], [0.403, 0.478, 0.785], [0.597, 0.522, 0.215], [0.597, 0.978, 0.215], [0.982, 0.750, 0.957], [0.173, 0.750, 0.385], [0.827, 0.250, 0.615], [0.480, 0.750, 0.954], [0.520, 0.250, 0.046]]
}

{
  "formula": "SrZrIr3",
  "functional": "PBE",
  "state": "relaxed",
  "final_energy_ev_per_atom": -6.71,
  "formation_enthalpy_0k_ev_per_atom": 0.6485,
  "sg": "Pm-3m (221)",
  "polymorph_energy_mev_per_atom": 0,
  "cell": [[4.963, 0.000, 0.000], [0.000, 4.963, 0.000], [0.000, 0.000, 4.963]],
  "species": ["Sr", "Zr", "Ir", "Ir", "Ir"],
  "frac_coords": [[0.000, 0.000, 0.000], [0.500, 0.500, 0.500], [0.000, 0.500, 0.500], [0.500, 0.000, 0.500], [0.500, 0.500, 0.000]]
}

{
  "formula": "La3PbO",
  "functional": "PBE",
  "state": "relaxed",
  "final_energy_ev_per_atom": -5.88,
  "sg": "R-3 (148)",
  "cell": [[3.293, 1.901, 7.928], [-3.293, 1.901, 7.928], [0.000, -3.803, 7.928]],
  "species": ["La", "La", "La", "La", "La", "La", "Pb", "Pb", "O", "O"],
  "frac_coords": [[0.063, 0.709, 0.409], [0.291, 0.591, 0.937], [0.409, 0.063, 0.709], [0.591, 0.937, 0.291], [0.709, 0.409, 0.063], [0.937, 0.291, 0.591], [0.164, 0.164, 0.164], [0.836, 0.836, 0.836], [0.333, 0.333, 0.333], [0.667, 0.667, 0.667]]
}

{
  "formula": "Y2NbAg",
  "functional": "PBE",
  "state": "relaxed",
  "final_energy_ev_per_atom": -5.80,
  "formation_enthalpy_0k_ev_per_atom": 0.6637,
  "sg": "I-42d (122)",
  "polymorph_energy_mev_per_atom": 484,
  "cell": [[-2.221, 2.221, 10.148], [2.221, -2.221, 10.148], [2.221, 2.221, -10.148]],
  "species": ["Y", "Y", "Y", "Y", "Nb", "Nb", "Ag", "Ag"],
  "frac_coords": [[0.125, 0.625, 0.000], [0.375, 0.375, 0.500], [0.625, 0.125, 0.000], [0.875, 0.875, 0.500], [0.000, 0.000, 0.000], [0.750, 0.250, 0.500], [0.250, 0.750, 0.500], [0.500, 0.500, 0.000]]
}

{
  "formula": "GaSiP2Cl",
  "functional": "PBE",
  "state": "relaxed",
  "final_energy_ev_per_atom": -3.84,
  "sg": "P4/mmm (123)",
  "polymorph_energy_mev_per_atom": 0,
  "cell": [[4.521, 0.000, 0.000], [0.000, 4.521, 0.000], [0.000, 0.000, 5.170]],
  "species": ["Ga", "Si", "P", "P", "Cl"],
  "frac_coords": [[0.000, 0.000, 0.000], [0.500, 0.500, 0.500], [0.000, 0.500, 0.500], [0.500, 0.000, 0.500], [0.500, 0.500, 0.000]]
}

{
  "formula": "EuErPd2",
  "functional": "PBE",
  "state": "relaxed",
  "final_energy_ev_per_atom": -7.13,
  "formation_enthalpy_0k_ev_per_atom": -0.8200,
  "sg": "P4/mmm (123)",
  "polymorph_energy_mev_per_atom": 0,
  "cell": [[3.524, 0.000, 0.000], [0.000, 3.524, 0.000], [0.000, 0.000, 7.243]],
  "species": ["Eu", "Er", "Pd", "Pd"],
  "frac_coords": [[0.000, 0.000, 0.000], [0.000, 0.000, 0.500], [0.500, 0.500, 0.282], [0.500, 0.500, 0.718]]
}

{
  "formula": "Sc2CoBr",
  "functional": "PBE",
  "state": "relaxed",
  "final_energy_ev_per_atom": -5.55,
  "sg": "Immm (71)",
  "polymorph_energy_mev_per_atom": 456,
  "cell": [[-1.862, 2.747, 3.763], [1.862, -2.747, 3.763], [1.862, 2.747, -3.763]],
  "species": ["Sc", "Sc", "Co", "Br"],
  "frac_coords": [[0.227, 0.227, 0.000], [0.773, 0.773, 0.000], [0.000, 0.500, 0.500], [0.500, 0.000, 0.500]]
}

{
  "formula": "NdGa4Cu4",
  "functional": "PBE",
  "state": "relaxed",
  "final_energy_ev_per_atom": -3.86,
  "formation_enthalpy_0k_ev_per_atom": -0.1597,
  "sg": "I4/m (87)",
  "cell": [[-4.135, 4.135, 2.231], [4.135, -4.135, 2.231], [4.135, 4.135, -2.231]],
  "species": ["Nd", "Ga", "Ga", "Ga", "Ga", "Cu", "Cu", "Cu", "Cu"],
  "frac_coords": [[0.000, 0.000, 0.000], [0.101, 0.628, 0.729], [0.372, 0.101, 0.473], [0.628, 0.899, 0.527], [0.899, 0.372, 0.271], [0.279, 0.381, 0.659], [0.381, 0.721, 0.102], [0.619, 0.279, 0.898], [0.721, 0.619, 0.341]]
}

{
  "formula": "BaZn2Au8",
  "functional": "PBE",
  "state": "relaxed",
  "final_energy_ev_per_atom": -2.96,
  "formation_enthalpy_0k_ev_per_atom": -0.1721,
  "sg": "P4/mmm (123)",
  "cell": [[5.519, 0.000, 0.000], [0.000, 5.519, 0.000], [0.000, 0.000, 9.274]],
  "species": ["Ba", "Zn", "Zn", "Au", "Au", "Au", "Au", "Au", "Au", "Au", "Au"],
  "frac_coords": [[0.000, 0.000, 0.000], [0.000, 0.500, 0.500], [0.500, 0.000, 0.500], [0.252, 0.252, 0.299], [0.252, 0.252, 0.701], [0.252, 0.748, 0.299], [0.252, 0.748, 0.701], [0.748, 0.252, 0.299], [0.748, 0.252, 0.701], [0.748, 0.748, 0.299], [0.748, 0.748, 0.701]]
}

{
  "formula": "Mn3Fe6Si",
  "functional": "PBE",
  "state": "relaxed",
  "final_energy_ev_per_atom": -8.35,
  "sg": "P2_1 (4)",
  "cell": [[4.518, 0.000, 0.000], [0.000, 8.819, 0.000], [-2.026, 0.000, 5.840]],
  "species": ["Mn", "Mn", "Mn", "Mn", "Mn", "Mn", "Fe", "Fe", "Fe", "Fe", "Fe", "Fe", "Fe", "Fe", "Fe", "Fe", "Fe", "Fe", "Si", "Si"],
  "frac_coords": [[0.052, 0.000, 0.112], [0.323, 0.879, 0.520], [0.446, 0.055, 0.889], [0.554, 0.555, 0.111], [0.677, 0.379, 0.480], [0.948, 0.500, 0.888], [0.141, 0.705, 0.229], [0.167, 0.167, 0.480], [0.221, 0.774, 0.878], [0.279, 0.279, 0.120], [0.362, 0.349, 0.767], [0.400, 0.596, 0.651], [0.600, 0.096, 0.349], [0.638, 0.849, 0.233], [0.721, 0.779, 0.880], [0.779, 0.274, 0.122], [0.833, 0.667, 0.520], [0.859, 0.205, 0.771], [0.110, 0.457, 0.337], [0.890, 0.957, 0.663]]
}

{
  "formula": "P2OsPbS",
  "functional": "PBE",
  "state": "relaxed",
  "final_energy_ev_per_atom": -3.74,
  "sg": "P4/mmm (123)",
  "polymorph_energy_mev_per_atom": 1829,
  "cell": [[5.144, 0.000, 0.000], [0.000, 5.144, 0.000], [0.000, 0.000, 5.004]],
  "species": ["P", "P", "Os", "Pb", "S"],
  "frac_coords": [[0.000, 0.500, 0.000], [0.500, 0.000, 0.000], [0.000, 0.000, 0.500], [0.500, 0.500, 0.000], [0.500, 0.500, 0.500]]
}

{
  "formula": "Co4Ge2As",
  "functional": "PBE",
  "state": "relaxed",
  "final_energy_ev_per_atom": -5.49,
  "formation_enthalpy_0k_ev_per_atom": 0.5497,
  "sg": "I4/mmm (139)",
  "cell": [[-2.135, 2.135, 6.068], [2.135, -2.135, 6.068], [2.135, 2.135, -6.068]],
  "species": ["Co", "Co", "Co", "Co", "Ge", "Ge", "As"],
  "frac_coords": [[0.000, 0.500, 0.500], [0.187, 0.187, 0.000], [0.500, 0.000, 0.500], [0.813, 0.813, 0.000], [0.376, 0.376, 0.000], [0.624, 0.624, 0.000], [0.000, 0.000, 0.000]]
}

{
  "formula": "TlIBr2",
  "functional": "PBE",
  "state": "relaxed",
  "final_energy_ev_per_atom": -2.28,
  "sg": "P6_3/mmc (194)",
  "polymorph_energy_mev_per_atom": 1,
  "cell": [[5.326, 0.000, 0.000], [-2.663, 4.613, 0.000], [0.000, 0.000, 16.675]],
  "species": ["Tl", "Tl", "I", "I", "Br", "Br", "Br", "Br"],
  "frac_coords": [[0.000, 0.000, 0.000], [0.000, 0.000, 0.500], [0.333, 0.667, 0.250], [0.667, 0.333, 0.750], [0.333, 0.667, 0.086], [0.333, 0.667, 0.414], [0.667, 0.333, 0.586], [0.667, 0.333, 0.914]]
}

{
  "formula": "SrLaSi2",
  "functional": "PBE",
  "state": "relaxed",
  "final_energy_ev_per_atom": -4.94,
  "sg": "Pmc2_1 (26)",
  "polymorph_energy_mev_per_atom": 7,
  "cell": [[4.015, 0.000, 0.000], [0.000, 6.110, 0.000], [0.000, 0.000, 8.616]],
  "species": ["Sr", "Sr", "La", "La", "Si", "Si", "Si", "Si"],
  "frac_coords": [[0.000, 0.137, 0.000], [0.000, 0.863, 0.500], [0.500, 0.358, 0.360], [0.500, 0.642, 0.860], [0.000, 0.377, 0.646], [0.000, 0.623, 0.146], [0.500, 0.150, 0.708], [0.500, 0.850, 0.208]]
}

{
  "formula": "Ac2NdHoS4",
  "functional": "PBE",
  "state": "relaxed",
  "final_energy_ev_per_atom": -6.25,
  "sg": "P2/m (10)",
  "cell": [[7.100, 0.000, 0.000], [0.000, 4.064, 0.000], [-2.332, 0.000, 6.965]],
  "species": ["Ac", "Ac", "Nd", "Ho", "S", "S", "S", "S"],
  "frac_coords": [[0.000, 0.000, 0.000], [0.500, 0.500, 0.000], [0.000, 0.500, 0.500], [0.500, 0.000, 0.500], [0.251, 0.000, 0.727], [0.268, 0.500, 0.278], [0.732, 0.500, 0.722], [0.749, 0.000, 0.273]]
}

{
  "formula": "Co3CuRe",
  "functional": "PBE",
  "state": "relaxed",
  "final_energy_ev_per_atom": -5.98,
  "formation_enthalpy_0k_ev_per_atom": 1.5919,
  "sg": "Pm-3m (221)",
  "polymorph_energy_mev_per_atom": 0,
  "cell": [[4.412, 0.000, 0.000], [0.000, 4.412, 0.000], [0.000, 0.000, 4.412]],
  "species": ["Co", "Co", "Co", "Cu", "Re"],
  "frac_coords": [[0.000, 0.000, 0.500], [0.000, 0.500, 0.000], [0.500, 0.000, 0.000], [0.500, 0.500, 0.500], [0.000, 0.000, 0.000]]
}

{
  "formula": "BaLiY",
  "functional": "PBE",
  "state": "relaxed",
  "final_energy_ev_per_atom": -3.25,
  "formation_enthalpy_0k_ev_per_atom": 0.1796,
  "sg": "P4/mmm (123)",
  "polymorph_energy_mev_per_atom": 0,
  "cell": [[3.904, 0.000, 0.000], [0.000, 3.904, 0.000], [0.000, 0.000, 14.591]],
  "species": ["Ba", "Ba", "Li", "Li", "Y", "Y"],
  "frac_coords": [[0.000, 0.000, 0.178], [0.000, 0.000, 0.822], [0.000, 0.000, 0.500], [0.500, 0.500, 0.000], [0.500, 0.500, 0.384], [0.500, 0.500, 0.616]]
}

{
  "formula": "CdTc2Pt",
  "functional": "PBE",
  "state": "relaxed",
  "final_energy_ev_per_atom": -6.14,
  "formation_enthalpy_0k_ev_per_atom": 0.7845,
  "sg": "I-42d (122)",
  "cell": [[-3.746, 3.746, 2.595], [3.746, -3.746, 2.595], [3.746, 3.746, -2.595]],
  "species": ["Cd", "Cd", "Tc", "Tc", "Tc", "Tc", "Pt", "Pt"],
  "frac_coords": [[0.000, 0.000, 0.000], [0.750, 0.250, 0.500], [0.164, 0.625, 0.039], [0.375, 0.414, 0.539], [0.586, 0.125, 0.961], [0.875, 0.836, 0.461], [0.250, 0.750, 0.500], [0.500, 0.500, 0.000]]
}

{
  "formula": "La2VPd",
  "functional": "PBE",
  "state": "relaxed",
  "final_energy_ev_per_atom": -5.88,
  "formation_enthalpy_0k_ev_per_atom": 0.1577,
  "sg": "I-42d (122)",
  "polymorph_energy_mev_per_atom": 197,
  "cell": [[-4.040, 4.040, 3.228], [4.040, -4.040, 3.228], [4.040, 4.040, -3.228]],
  "species": ["La", "La", "La", "La", "V", "V", "Pd", "Pd"],
  "frac_coords": [[0.106, 0.625, 0.981], [0.375, 0.356, 0.481], [0.644, 0.125, 0.019], [0.875, 0.894, 0.519], [0.250, 0.750, 0.500], [0.500, 0.500, 0.000], [0.000, 0.000, 0.000], [0.750, 0.250, 0.500]]
}